# Ac9OsPt3 (PBE, optimized geometry)
data_Ac9OsPt3
_chemical_formula_sum 'Ac18 Os2 Pt6'
_space_group_name_H-M_alt 'P 1'
_space_group_IT_number 1
_space_group_name_Hall 'P 1'
_cell_length_a 7.335
_cell_length_b 11.257
_cell_length_c 12.201
_cell_angle_alpha 90.00
_cell_angle_beta 96.07
_cell_angle_gamma 90.00
loop_
_atom_site_label
_atom_site_fract_x
_atom_site_fract_y
_atom_site_fract_z
_atom_site_occupancy
Os1 0.027 0.250 0.418 1
Os2 0.973 0.750 0.582 1
Ac1 0.265 0.250 0.626 1
Ac2 0.644 0.423 0.883 1
Ac3 0.773 0.429 0.542 1
Ac4 0.356 0.923 0.117 1
Ac5 0.145 0.250 0.964 1
Ac6 0.377 0.250 0.310 1
Ac7 0.735 0.750 0.374 1
Ac8 0.874 0.085 0.222 1
Ac9 0.855 0.750 0.036 1
Ac10 0.227 0.929 0.458 1
Ac11 0.126 0.585 0.778 1
Ac12 0.623 0.750 0.690 1
Ac13 0.773 0.071 0.542 1
Ac14 0.644 0.077 0.883 1
Ac15 0.227 0.571 0.458 1
Ac16 0.874 0.415 0.222 1
Ac17 0.126 0.915 0.778 1
Ac18 0.356 0.577 0.117 1
Pt1 0.550 0.996 0.332 1
Pt2 0.450 0.496 0.668 1
Pt3 0.550 0.504 0.332 1
Pt4 0.450 0.004 0.668 1
Pt5 0.000 0.500 0.000 1
Pt6 0.000 0.000 0.000 1
# E_form, meV per atom: -496
# Theoretical density, Mg/m³: 9.3

***

# GaPS2N (PBE, optimized geometry)
data_GaPS2N
_chemical_formula_sum 'Ga1 P1 S2 N1'
_space_group_name_H-M_alt 'P 1'
_space_group_IT_number 1
_space_group_name_Hall 'P 1'
_cell_length_a 4.689
_cell_length_b 4.689
_cell_length_c 4.940
_cell_angle_alpha 90.00
_cell_angle_beta 90.00
_cell_angle_gamma 90.00
loop_
_atom_site_label
_atom_site_fract_x
_atom_site_fract_y
_atom_site_fract_z
_atom_site_occupancy
N1 0.500 0.500 0.500 1
P1 0.000 0.000 0.500 1
S1 0.000 0.500 0.000 1
S2 0.500 0.000 0.000 1
Ga1 0.000 0.000 0.000 1
# ΔE to the lowest computed polymorph, meV per atom: 1251
# Theoretical density, Mg/m³: 2.7
# Raw formation energy, eV/atom: 1.672

***

# TeW2Cl (PBE, optimized geometry)
data_TeW2Cl
_chemical_formula_sum 'Te1 W2 Cl1'
_space_group_name_H-M_alt 'P 1'
_space_group_IT_number 1
_space_group_name_Hall 'P 1'
_cell_length_a 4.911
_cell_length_b 4.911
_cell_length_c 4.911
_cell_angle_alpha 127.02
_cell_angle_beta 127.02
_cell_angle_gamma 78.22
loop_
_atom_site_label
_atom_site_fract_x
_atom_site_fract_y
_atom_site_fract_z
_atom_site_occupancy
W1 0.000 0.000 0.000 1
W2 0.250 0.750 0.500 1
Te1 0.750 0.250 0.500 1
Cl1 0.500 0.500 0.000 1
# ΔE to the lowest computed polymorph, meV per atom: 1037
# Theoretical density, Mg/m³: 12.0
# Raw formation energy, eV/atom: 1.123

***

# Nb2CoW (PBE, optimized geometry)
data_Nb2CoW
_chemical_formula_sum 'Nb2 Co1 W1'
_space_group_name_H-M_alt 'P 1'
_space_group_IT_number 1
_space_group_name_Hall 'P 1'
_cell_length_a 2.817
_cell_length_b 2.817
_cell_length_c 9.825
_cell_angle_alpha 81.76
_cell_angle_beta 81.76
_cell_angle_gamma 60.00
loop_
_atom_site_label
_atom_site_fract_x
_atom_site_fract_y
_atom_site_fract_z
_atom_site_occupancy
Nb1 0.093 0.093 0.720 1
Nb2 0.907 0.907 0.280 1
Co1 0.500 0.500 0.500 1
W1 0.000 0.000 0.000 1
# E_form, meV per atom: 557
# Theoretical density, Mg/m³: 10.7

***

# LaPt2Rh (PBE, optimized geometry)
data_LaPt2Rh
_chemical_formula_sum 'La1 Pt2 Rh1'
_space_group_name_H-M_alt 'P 1'
_space_group_IT_number 1
_space_group_name_Hall 'P 1'
_cell_length_a 9.890
_cell_length_b 9.890
_cell_length_c 9.890
_cell_angle_alpha 17.14
_cell_angle_beta 17.14
_cell_angle_gamma 17.14
loop_
_atom_site_label
_atom_site_fract_x
_atom_site_fract_y
_atom_site_fract_z
_atom_site_occupancy
Rh1 0.500 0.500 0.500 1
Pt1 0.242 0.242 0.242 1
Pt2 0.758 0.758 0.758 1
La1 0.000 0.000 0.000 1
# E_form, meV per atom: 83
# Theoretical density, Mg/m³: 14.3

***

# LiLaHg14 (PBE, optimized geometry)
data_LiLaHg14
_chemical_formula_sum 'Li1 La1 Hg14'
_space_group_name_H-M_alt 'P 1'
_space_group_IT_number 1
_space_group_name_Hall 'P 1'
_cell_length_a 7.090
_cell_length_b 7.090
_cell_length_c 8.138
_cell_angle_alpha 90.00
_cell_angle_beta 90.00
_cell_angle_gamma 89.97
loop_
_atom_site_label
_atom_site_fract_x
_atom_site_fract_y
_atom_site_fract_z
_atom_site_occupancy
Hg1 0.875 0.375 0.500 1
Hg2 0.613 0.137 0.748 1
Hg3 0.875 0.375 0.000 1
Hg4 0.375 0.875 0.500 1
Hg5 0.375 0.875 0.000 1
Hg6 0.613 0.613 0.748 1
Hg7 0.613 0.613 0.252 1
Hg8 0.137 0.613 0.748 1
Hg9 0.137 0.613 0.252 1
Hg10 0.137 0.137 0.748 1
Hg11 0.613 0.137 0.252 1
Hg12 0.875 0.875 0.000 1
Hg13 0.375 0.375 0.000 1
Hg14 0.137 0.137 0.252 1
La1 0.875 0.875 0.500 1
Li1 0.375 0.375 0.500 1
# E_form, meV per atom: -143
# Theoretical density, Mg/m³: 12.0

***

# CuIrW2 (PBE, optimized geometry)
data_CuIrW2
_chemical_formula_sum 'Cu1 Ir1 W2'
_space_group_name_H-M_alt 'P 1'
_space_group_IT_number 1
_space_group_name_Hall 'P 1'
_cell_length_a 2.766
_cell_length_b 2.766
_cell_length_c 7.680
_cell_angle_alpha 90.00
_cell_angle_beta 90.00
_cell_angle_gamma 90.02
loop_
_atom_site_label
_atom_site_fract_x
_atom_site_fract_y
_atom_site_fract_z
_atom_site_occupancy
Ir1 0.500 0.500 0.750 1
Cu1 0.500 0.500 0.250 1
W1 0.000 0.000 0.007 1
W2 0.000 0.000 0.493 1
# E_form, meV per atom: 92
# ΔE to the lowest computed polymorph, meV per atom: 62
# Theoretical density, Mg/m³: 17.6

***

# MgGa (PBE, optimized geometry)
data_MgGa
_chemical_formula_sum 'Mg3 Ga3'
_space_group_name_H-M_alt 'P 1'
_space_group_IT_number 1
_space_group_name_Hall 'P 1'
_cell_length_a 7.648
_cell_length_b 7.648
_cell_length_c 5.191
_cell_angle_alpha 90.00
_cell_angle_beta 90.00
_cell_angle_gamma 156.75
loop_
_atom_site_label
_atom_site_fract_x
_atom_site_fract_y
_atom_site_fract_z
_atom_site_occupancy
Mg1 0.993 0.007 0.000 1
Mg2 0.110 0.890 0.500 1
Mg3 0.675 0.325 0.000 1
Ga1 0.334 0.666 0.000 1
Ga2 0.783 0.217 0.500 1
Ga3 0.438 0.562 0.500 1
# E_form, meV per atom: -66
# Theoretical density, Mg/m³: 3.9

***

# NiSCl2 (PBE, optimized geometry)
data_NiSCl2
_chemical_formula_sum 'Ni2 S2 Cl4'
_space_group_name_H-M_alt 'P 1'
_space_group_IT_number 1
_space_group_name_Hall 'P 1'
_cell_length_a 6.359
_cell_length_b 6.359
_cell_length_c 6.178
_cell_angle_alpha 59.02
_cell_angle_beta 59.02
_cell_angle_gamma 90.00
loop_
_atom_site_label
_atom_site_fract_x
_atom_site_fract_y
_atom_site_fract_z
_atom_site_occupancy
Ni1 0.750 0.250 0.500 1
Ni2 0.000 0.000 0.000 1
Cl1 0.051 0.625 0.250 1
Cl2 0.375 0.301 0.750 1
Cl3 0.875 0.949 0.750 1
Cl4 0.699 0.125 0.250 1
S1 0.250 0.750 0.500 1
S2 0.500 0.500 0.000 1
# ΔE to the lowest computed polymorph, meV per atom: 276
# Theoretical density, Mg/m³: 3.1
# Raw formation energy, eV/atom: 0.435

***

# LaPm2InN4 (PBE, optimized geometry)
data_LaPm2InN4
_chemical_formula_sum 'La2 Pm4 In2 N8'
_space_group_name_H-M_alt 'P 1'
_space_group_IT_number 1
_space_group_name_Hall 'P 1'
_cell_length_a 3.573
_cell_length_b 6.335
_cell_length_c 12.483
_cell_angle_alpha 90.00
_cell_angle_beta 90.00
_cell_angle_gamma 106.38
loop_
_atom_site_label
_atom_site_fract_x
_atom_site_fract_y
_atom_site_fract_z
_atom_site_occupancy
N1 0.000 0.000 0.000 1
N2 0.266 0.532 0.378 1
N3 0.537 0.074 0.250 1
N4 0.734 0.468 0.878 1
N5 0.734 0.468 0.622 1
N6 0.266 0.532 0.122 1
N7 0.000 0.000 0.500 1
N8 0.463 0.926 0.750 1
La1 0.117 0.233 0.750 1
La2 0.883 0.767 0.250 1
Pm1 0.370 0.740 0.536 1
Pm2 0.630 0.260 0.036 1
Pm3 0.370 0.740 0.964 1
Pm4 0.630 0.260 0.464 1
In1 0.146 0.293 0.250 1
In2 0.854 0.707 0.750 1
# Theoretical density, Mg/m³: 7.3
# Raw formation energy, eV/atom: -0.917

***

# NaMgZr2Ru (PBE, optimized geometry)
data_NaMgZr2Ru
_chemical_formula_sum 'Na1 Mg1 Zr2 Ru1'
_space_group_name_H-M_alt 'P 1'
_space_group_IT_number 1
_space_group_name_Hall 'P 1'
_cell_length_a 4.980
_cell_length_b 4.402
_cell_length_c 4.980
_cell_angle_alpha 90.00
_cell_angle_beta 90.00
_cell_angle_gamma 90.00
loop_
_atom_site_label
_atom_site_fract_x
_atom_site_fract_y
_atom_site_fract_z
_atom_site_occupancy
Ru1 0.500 0.500 0.500 1
Zr1 0.500 0.000 0.000 1
Zr2 0.000 0.000 0.500 1
Mg1 0.000 0.500 0.000 1
Na1 0.000 0.000 0.000 1
# E_form, meV per atom: 1570
# ΔE to the lowest computed polymorph, meV per atom: 328
# Theoretical density, Mg/m³: 5.0

***

# CaLa2Cd (PBE, optimized geometry)
data_CaLa2Cd
_chemical_formula_sum 'Ca1 La2 Cd1'
_space_group_name_H-M_alt 'P 1'
_space_group_IT_number 1
_space_group_name_Hall 'P 1'
_cell_length_a 4.661
_cell_length_b 3.770
_cell_length_c 8.377
_cell_angle_alpha 63.10
_cell_angle_beta 90.00
_cell_angle_gamma 90.00
loop_
_atom_site_label
_atom_site_fract_x
_atom_site_fract_y
_atom_site_fract_z
_atom_site_occupancy
Cd1 0.500 0.745 0.754 1
Ca1 0.000 0.471 0.528 1
La1 0.000 0.998 0.003 1
La2 0.500 0.286 0.215 1
# E_form, meV per atom: -94
# Theoretical density, Mg/m³: 5.4